Below is a relaxed CaLaZnGe crystal, with properties calculated at the PBE level.

Cell and atoms, written as POSCAR:
```
CaLaZnGe
1.0
5.233 0.000 0.000
2.616 4.532 0.000
2.616 1.511 4.273
Ge Ca Zn La
1 1 1 1
direct
0.250 0.250 0.250 Ge
0.000 0.000 0.000 Ca
0.750 0.750 0.750 Zn
0.500 0.500 0.500 La
```

Calculated values
For the energy of formation, the calculation gives -0.51 eV/atom. As for the electronic total energy: -3.712 eV/atom. The crystal system is cubic.